{"formula": "LiZnOs2", "functional": "PBE", "state": "relaxed", "cell": [[-3.878, 1.776, 2.462], [-4.036, -2.821, 0.025], [4.765, 0.260, 1.217]], "species": ["Os", "Os", "Zn", "Li"], "frac_coords": [[0.750, 0.250, 0.500], [0.004, 0.004, 0.000], [0.489, 0.489, 0.000], [0.256, 0.756, 0.500]], "formation_energy_ev_per_atom": 0.293, "spacegroup": "No. 44"}

---

{"formula": "LiZnOs3", "functional": "PBE", "state": "relaxed", "cell": [[4.530, 0.000, 0.000], [0.000, 4.530, 0.000], [0.000, 0.000, 4.530]], "species": ["Zn", "Os", "Os", "Os", "Li"], "frac_coords": [[0.000, 0.000, 0.000], [0.000, 0.000, 0.500], [0.500, 0.000, 0.000], [0.000, 0.500, 0.000], [0.500, 0.500, 0.500]], "formation_energy_ev_per_atom": 2.095, "spacegroup": "No. 221"}

---

{"formula": "LiZn2Os2", "functional": "PBE", "state": "relaxed", "cell": [[-0.923, -5.283, -5.544], [6.465, -3.531, 2.289], [-1.407, -1.498, 1.661]], "species": ["Zn", "Zn", "Zn", "Zn", "Os", "Os", "Os", "Os", "Li", "Li"], "frac_coords": [[0.179, 0.321, 0.000], [0.679, 0.179, 0.000], [0.821, 0.679, 0.000], [0.321, 0.821, 0.000], [0.617, 0.883, 0.500], [0.383, 0.117, 0.500], [0.883, 0.383, 0.500], [0.117, 0.617, 0.500], [0.000, 0.000, 0.000], [0.500, 0.500, 0.000]], "relative_energy_kj_per_mol_atoms": 0.0, "formation_energy_ev_per_atom": 0.334, "spacegroup": "No. 127"}

---

{"formula": "Li4ZnOs", "functional": "PBE", "state": "relaxed", "cell": [[0.000, 3.377, 3.377], [3.377, 0.000, 3.377], [3.377, 3.377, 0.000]], "species": ["Li", "Li", "Li", "Li", "Zn", "Os"], "frac_coords": [[0.377, 0.869, 0.377], [0.377, 0.377, 0.869], [0.869, 0.377, 0.377], [0.377, 0.377, 0.377], [0.000, 0.000, 0.000], [0.750, 0.750, 0.750]], "formation_energy_ev_per_atom": 0.300, "spacegroup": "No. 216"}

---

{"formula": "LiZnOs", "functional": "PBE", "state": "relaxed", "cell": [[4.088, 0.000, 0.000], [2.044, 3.540, 0.000], [2.044, 1.180, 3.338]], "species": ["Os", "Li", "Zn"], "frac_coords": [[0.500, 0.500, 0.500], [0.000, 0.000, 0.000], [0.250, 0.250, 0.250]], "relative_energy_kj_per_mol_atoms": 80.9, "formation_energy_ev_per_atom": 0.851, "spacegroup": "No. 216"}

---

{"formula": "LiZn2Os", "functional": "PBE", "state": "relaxed", "cell": [[4.795, 0.000, 0.000], [1.979, 4.368, 0.000], [-3.387, -2.184, 2.599]], "species": ["Zn", "Zn", "Os", "Li"], "frac_coords": [[0.250, 0.750, 0.500], [0.000, 0.000, 0.000], [0.750, 0.250, 0.500], [0.500, 0.500, 0.000]], "formation_energy_ev_per_atom": 0.143, "spacegroup": "No. 119"}

---

{"formula": "Li2ZnOs", "functional": "PBE", "state": "relaxed", "cell": [[4.962, 0.013, 0.000], [-2.293, 4.400, 0.000], [0.000, 0.000, 2.536]], "species": ["Zn", "Li", "Li", "Os"], "frac_coords": [[0.000, 0.500, 0.500], [0.500, 0.500, 0.000], [0.000, 0.000, 0.000], [0.500, 0.000, 0.500]], "formation_energy_ev_per_atom": 0.110, "spacegroup": "No. 65"}

---

{"formula": "LiZnOs2", "functional": "PBE", "state": "relaxed", "cell": [[-0.493, -8.090, -4.295], [-1.255, -8.906, -1.804], [-3.104, -7.878, -3.528]], "species": ["Os", "Os", "Zn", "Li"], "frac_coords": [[0.003, 0.003, 0.003], [0.747, 0.747, 0.747], [0.498, 0.498, 0.498], [0.252, 0.252, 0.252]], "formation_energy_ev_per_atom": 0.144, "spacegroup": "No. 160"}

---

{"formula": "LiZnOs", "functional": "PBE", "state": "relaxed", "cell": [[-1.598, -0.890, 1.970], [-0.355, -0.874, -2.517], [4.299, -5.123, 1.173]], "species": ["Zn", "Li", "Os"], "frac_coords": [[0.333, 0.667, 0.664], [0.000, 0.000, 0.004], [0.667, 0.333, 0.331]], "relative_energy_kj_per_mol_atoms": 9.1, "formation_energy_ev_per_atom": 0.108, "spacegroup": "No. 156"}

---

{"formula": "Li2ZnOs", "functional": "PBE", "state": "relaxed", "cell": [[4.502, 0.000, 0.000], [0.000, 4.502, 0.000], [0.000, 0.000, 2.595]], "species": ["Li", "Li", "Zn", "Os"], "frac_coords": [[0.500, 0.500, 0.000], [0.000, 0.000, 0.000], [0.000, 0.500, 0.500], [0.500, 0.000, 0.500]], "formation_energy_ev_per_atom": 0.272, "spacegroup": "No. 123"}

---

{"formula": "LiZnOs", "functional": "PBE", "state": "relaxed", "cell": [[4.255, 0.000, 0.000], [-2.127, 3.685, 0.000], [0.000, 0.000, 5.271]], "species": ["Li", "Li", "Zn", "Zn", "Os", "Os"], "frac_coords": [[0.667, 0.333, 0.741], [0.333, 0.667, 0.066], [0.000, 0.000, 0.879], [0.333, 0.667, 0.556], [0.000, 0.000, 0.377], [0.667, 0.333, 0.253]], "relative_energy_kj_per_mol_atoms": 2.2, "formation_energy_ev_per_atom": 0.036, "spacegroup": "No. 156"}

---

{"formula": "Li3ZnOs", "functional": "PBE", "state": "relaxed", "cell": [[-1.929, 3.049, -3.142], [-4.322, -0.781, 1.896], [0.695, 3.603, 3.070]], "species": ["Li", "Li", "Li", "Os", "Zn"], "frac_coords": [[0.000, 0.500, 0.000], [0.000, 0.000, 0.500], [0.500, 0.000, 0.000], [0.000, 0.000, 0.000], [0.500, 0.500, 0.500]], "relative_energy_kj_per_mol_atoms": 0.0, "formation_energy_ev_per_atom": 1.026, "spacegroup": "No. 221"}

---

{"formula": "LiZnOs2", "functional": "PBE", "state": "relaxed", "cell": [[2.651, -0.010, 0.000], [-1.177, 2.375, 0.000], [0.000, 0.000, 9.005]], "species": ["Os", "Os", "Zn", "Li"], "frac_coords": [[0.000, 0.000, 0.497], [0.000, 0.000, 0.003], [0.500, 0.500, 0.250], [0.500, 0.500, 0.750]], "formation_energy_ev_per_atom": 0.269, "spacegroup": "No. 65"}

---

{"formula": "LiZnOs", "functional": "PBE", "state": "relaxed", "cell": [[8.370, 0.000, 0.000], [0.000, 4.388, 0.000], [0.000, 0.000, 4.472]], "species": ["Os", "Os", "Os", "Os", "Li", "Li", "Li", "Li", "Zn", "Zn", "Zn", "Zn"], "frac_coords": [[0.330, 0.500, 0.500], [0.830, 0.000, 0.500], [0.670, 0.500, 0.500], [0.170, 0.000, 0.500], [0.327, 0.000, 0.000], [0.173, 0.500, 0.000], [0.673, 0.000, 0.000], [0.827, 0.500, 0.000], [0.000, 0.500, 0.500], [0.500, 0.500, 0.000], [0.000, 0.000, 0.000], [0.500, 0.000, 0.500]], "relative_energy_kj_per_mol_atoms": 0.6, "formation_energy_ev_per_atom": 0.019, "spacegroup": "No. 65"}

---

{"formula": "Li2ZnOs", "functional": "PBE", "state": "relaxed", "cell": [[4.092, 0.000, 0.000], [0.000, 3.617, 0.000], [0.000, 0.000, 3.617]], "species": ["Li", "Li", "Os", "Zn"], "frac_coords": [[0.000, 0.500, 0.500], [0.000, 0.000, 0.000], [0.500, 0.500, 0.000], [0.500, 0.000, 0.500]], "formation_energy_ev_per_atom": 0.189, "spacegroup": "No. 123"}

---

{"formula": "LiZn2Os", "functional": "PBE", "state": "relaxed", "cell": [[-1.569, -2.767, -1.786], [0.477, -2.149, 2.910], [-8.462, 0.014, 3.686]], "species": ["Zn", "Zn", "Zn", "Zn", "Os", "Os", "Li", "Li"], "frac_coords": [[0.875, 0.881, 0.750], [0.375, 0.369, 0.750], [0.631, 0.125, 0.250], [0.119, 0.625, 0.250], [0.750, 0.250, 0.500], [0.000, 0.000, 0.000], [0.500, 0.500, 0.000], [0.250, 0.750, 0.500]], "formation_energy_ev_per_atom": 0.515, "spacegroup": "No. 122"}

---

{"formula": "LiZn2Os", "functional": "PBE", "state": "relaxed", "cell": [[-2.185, 1.498, -0.319], [-0.016, -2.364, -1.238], [-3.657, -3.784, 7.273]], "species": ["Li", "Zn", "Zn", "Os"], "frac_coords": [[0.500, 0.500, 0.250], [0.000, 0.000, 0.497], [0.000, 0.000, 0.003], [0.500, 0.500, 0.750]], "formation_energy_ev_per_atom": 0.085, "spacegroup": "No. 65"}

---

{"formula": "LiZn4Os", "functional": "PBE", "state": "relaxed", "cell": [[1.222, 2.675, 3.969], [-3.495, 1.439, 3.180], [-0.225, -2.018, 4.503]], "species": ["Zn", "Zn", "Zn", "Zn", "Os", "Li"], "frac_coords": [[0.374, 0.374, 0.877], [0.374, 0.374, 0.374], [0.877, 0.374, 0.374], [0.374, 0.877, 0.374], [0.000, 0.000, 0.000], [0.750, 0.750, 0.750]], "formation_energy_ev_per_atom": 0.158, "spacegroup": "No. 216"}

---

{"formula": "LiZn2Os", "functional": "PBE", "state": "relaxed", "cell": [[-5.000, -0.552, 0.729], [-1.812, -4.684, 0.780], [3.027, 3.776, 1.553]], "species": ["Zn", "Zn", "Os", "Li"], "frac_coords": [[0.492, 0.492, 0.000], [0.008, 0.008, 0.000], [0.750, 0.250, 0.500], [0.250, 0.750, 0.500]], "formation_energy_ev_per_atom": 0.180, "spacegroup": "No. 71"}

---

{"formula": "LiZn2Os", "functional": "PBE", "state": "relaxed", "cell": [[-1.996, -1.366, -0.968], [2.644, -2.243, -2.289], [0.462, -3.444, 3.908]], "species": ["Zn", "Zn", "Li", "Os"], "frac_coords": [[0.000, 0.000, 0.974], [0.500, 0.500, 0.265], [0.000, 0.000, 0.502], [0.500, 0.500, 0.760]], "formation_energy_ev_per_atom": 0.102, "spacegroup": "No. 25"}